(1)
A relaxed Be2NiPd6 crystal, computed with PBE.

As for the space group: C2/m (12). Its energy of formation is -0.27 eV/atom. As for the total DFT energy (no corrections): -5.20 eV/atom.

Geometry as CIF:
```
data_Be2NiPd6
_chemical_formula_sum 'Be2 Ni1 Pd6'
_space_group_name_H-M_alt 'P 1'
_space_group_IT_number 1
_space_group_name_Hall 'P 1'
_cell_length_a 2.8885
_cell_length_b 6.4121
_cell_length_c 6.8433
_cell_angle_alpha 82.08
_cell_angle_beta 77.82
_cell_angle_gamma 76.98
loop_
_atom_site_label
_atom_site_type_symbol
_atom_site_fract_x
_atom_site_fract_y
_atom_site_fract_z
Pd1 Pd 0.6784 0.1829 0.4603
Pd2 Pd 0.7247 0.6707 0.8799
Pd3 Pd 0.2753 0.3293 0.1201
Pd4 Pd 0.3216 0.8171 0.5397
Pd5 Pd 0.9692 0.8803 0.1813
Pd6 Pd 0.0308 0.1197 0.8187
Be1 Be 0.4126 0.4127 0.7621
Be2 Be 0.5874 0.5873 0.2379
Ni1 Ni 0.0000 0.5000 0.5000
```

=====

(2)
A relaxed BeNi3Pd crystal, computed with PBE.

As for the space group: Pm-3m (221). For the distance to the lowest polymorph of the same formula, the calculation gives 1.2548 eV per atom. Its energy of formation is 1.55 eV/atom. As for the total DFT energy (no corrections): -3.70 eV/atom.

Geometry as CIF:
```
data_BeNi3Pd
_chemical_formula_sum 'Be1 Ni3 Pd1'
_space_group_name_H-M_alt 'P 1'
_space_group_IT_number 1
_space_group_name_Hall 'P 1'
_cell_length_a 4.5214
_cell_length_b 4.5214
_cell_length_c 4.5214
_cell_angle_alpha 90.00
_cell_angle_beta 90.00
_cell_angle_gamma 90.00
loop_
_atom_site_label
_atom_site_type_symbol
_atom_site_fract_x
_atom_site_fract_y
_atom_site_fract_z
Be1 Be 0.5000 0.5000 0.5000
Ni1 Ni 0.5000 0.0000 0.0000
Ni2 Ni 0.0000 0.0000 0.5000
Ni3 Ni 0.0000 0.5000 0.0000
Pd1 Pd 0.0000 0.0000 0.0000
```

=====

(3)
A relaxed Be3Ni2Pd crystal, computed with PBE.

As for the space group: P4/mmm (123). Its energy of formation is -0.50 eV/atom. As for the total DFT energy (no corrections): -5.15 eV/atom.

Geometry as CIF:
```
data_Be3Ni2Pd
_chemical_formula_sum 'Be3 Ni2 Pd1'
_space_group_name_H-M_alt 'P 1'
_space_group_IT_number 1
_space_group_name_Hall 'P 1'
_cell_length_a 2.7151
_cell_length_b 2.7151
_cell_length_c 7.9356
_cell_angle_alpha 90.00
_cell_angle_beta 90.00
_cell_angle_gamma 90.00
loop_
_atom_site_label
_atom_site_type_symbol
_atom_site_fract_x
_atom_site_fract_y
_atom_site_fract_z
Be1 Be 0.0000 0.0000 0.6901
Be2 Be 0.0000 0.0000 0.3099
Be3 Be 0.0000 0.0000 0.0000
Ni1 Ni 0.5000 0.5000 0.8418
Ni2 Ni 0.5000 0.5000 0.1582
Pd1 Pd 0.5000 0.5000 0.5000
```

=====

(4)
A relaxed BeNiPd2 crystal, computed with PBE.

As for the space group: P4/mmm (123). Its energy of formation is -0.24 eV/atom. As for the total DFT energy (no corrections): -5.21 eV/atom.

Geometry as CIF:
```
data_BeNiPd2
_chemical_formula_sum 'Be1 Ni1 Pd2'
_space_group_name_H-M_alt 'P 1'
_space_group_IT_number 1
_space_group_name_Hall 'P 1'
_cell_length_a 2.8604
_cell_length_b 4.1762
_cell_length_c 4.1762
_cell_angle_alpha 90.00
_cell_angle_beta 90.00
_cell_angle_gamma 90.00
loop_
_atom_site_label
_atom_site_type_symbol
_atom_site_fract_x
_atom_site_fract_y
_atom_site_fract_z
Be1 Be 0.5000 0.0000 0.0000
Ni1 Ni 0.5000 0.5000 0.5000
Pd1 Pd 0.0000 0.0000 0.5000
Pd2 Pd 0.0000 0.5000 0.0000
```

=====

(5)
A relaxed Be6NiPd5 crystal, computed with PBE.

As for the space group: Immm (71). Its energy of formation is -0.55 eV/atom. As for the total DFT energy (no corrections): -5.06 eV/atom.

Geometry as CIF:
```
data_Be6NiPd5
_chemical_formula_sum 'Be6 Ni1 Pd5'
_space_group_name_H-M_alt 'P 1'
_space_group_IT_number 1
_space_group_name_Hall 'P 1'
_cell_length_a 3.9240
_cell_length_b 5.7170
_cell_length_c 6.8293
_cell_angle_alpha 114.74
_cell_angle_beta 106.70
_cell_angle_gamma 90.00
loop_
_atom_site_label
_atom_site_type_symbol
_atom_site_fract_x
_atom_site_fract_y
_atom_site_fract_z
Pd1 Pd 0.0000 0.5000 0.0000
Pd2 Pd 0.3364 0.8364 0.6729
Pd3 Pd 0.6674 0.6674 0.3348
Pd4 Pd 0.6636 0.1636 0.3271
Pd5 Pd 0.3326 0.3326 0.6652
Be1 Be 0.8383 0.0815 0.6765
Be2 Be 0.5000 0.7604 0.0000
Be3 Be 0.5000 0.2396 0.0000
Be4 Be 0.1617 0.9185 0.3235
Be5 Be 0.1617 0.4050 0.3235
Be6 Be 0.8383 0.5950 0.6765
Ni1 Ni 0.0000 0.0000 0.0000
```

=====

(6)
A relaxed Pm2BeNiPd6 crystal, computed with PBE.

As for the space group: P-1 (2). Its energy of formation is -0.52 eV/atom. As for the total DFT energy (no corrections): -5.54 eV/atom.

Geometry as CIF:
```
data_Pm2BeNiPd6
_chemical_formula_sum 'Pm2 Be1 Ni1 Pd6'
_space_group_name_H-M_alt 'P 1'
_space_group_IT_number 1
_space_group_name_Hall 'P 1'
_cell_length_a 5.8212
_cell_length_b 7.0747
_cell_length_c 7.1200
_cell_angle_alpha 48.62
_cell_angle_beta 65.07
_cell_angle_gamma 89.72
loop_
_atom_site_label
_atom_site_type_symbol
_atom_site_fract_x
_atom_site_fract_y
_atom_site_fract_z
Ni1 Ni 0.0000 0.0000 0.0000
Pd1 Pd 0.7465 0.7825 0.5216
Pd2 Pd 0.2314 0.2601 0.0346
Pd3 Pd 0.7686 0.7399 0.9654
Pd4 Pd 0.2535 0.2175 0.4784
Pd5 Pd 0.7455 0.2635 0.0493
Pd6 Pd 0.2545 0.7364 0.9507
Be1 Be 0.5000 0.5000 0.0000
Pm1 Pm 0.7140 0.2794 0.5612
Pm2 Pm 0.2860 0.7206 0.4388
```

=====

(7)
A relaxed BeNiPdPt crystal, computed with PBE.

As for the space group: P4mm (99). For the distance to the lowest polymorph of the same formula, the calculation gives 0.0000 eV per atom. Its energy of formation is -0.37 eV/atom. As for the total DFT energy (no corrections): -5.55 eV/atom.

Geometry as CIF:
```
data_BeNiPdPt
_chemical_formula_sum 'Be1 Ni1 Pd1 Pt1'
_space_group_name_H-M_alt 'P 1'
_space_group_IT_number 1
_space_group_name_Hall 'P 1'
_cell_length_a 2.7619
_cell_length_b 2.7619
_cell_length_c 6.5300
_cell_angle_alpha 90.00
_cell_angle_beta 90.00
_cell_angle_gamma 90.00
loop_
_atom_site_label
_atom_site_type_symbol
_atom_site_fract_x
_atom_site_fract_y
_atom_site_fract_z
Pt1 Pt 0.5000 0.5000 0.3517
Be1 Be 0.0000 0.0000 0.5686
Ni1 Ni 0.0000 0.0000 0.0722
Pd1 Pd 0.5000 0.5000 0.7922
```

=====

(8)
A relaxed BeNiPdPt crystal, computed with PBE.

As for the space group: F-43m (216). For the distance to the lowest polymorph of the same formula, the calculation gives 0.0823 eV per atom. Its energy of formation is -0.29 eV/atom. As for the total DFT energy (no corrections): -5.47 eV/atom.

Geometry as CIF:
```
data_BeNiPdPt
_chemical_formula_sum 'Be1 Ni1 Pd1 Pt1'
_space_group_name_H-M_alt 'P 1'
_space_group_IT_number 1
_space_group_name_Hall 'P 1'
_cell_length_a 4.1447
_cell_length_b 4.1447
_cell_length_c 4.1447
_cell_angle_alpha 60.00
_cell_angle_beta 60.00
_cell_angle_gamma 60.00
loop_
_atom_site_label
_atom_site_type_symbol
_atom_site_fract_x
_atom_site_fract_y
_atom_site_fract_z
Ni1 Ni 0.0000 0.0000 0.0000
Be1 Be 0.5000 0.5000 0.5000
Pd1 Pd 0.7500 0.7500 0.7500
Pt1 Pt 0.2500 0.2500 0.2500
```

=====

(9)
A relaxed ScBe2NiPd crystal, computed with PBE.

As for the space group: P4/mmm (123). Its energy of formation is 1.61 eV/atom. As for the total DFT energy (no corrections): -3.35 eV/atom.

Geometry as CIF:
```
data_ScBe2NiPd
_chemical_formula_sum 'Sc1 Be2 Ni1 Pd1'
_space_group_name_H-M_alt 'P 1'
_space_group_IT_number 1
_space_group_name_Hall 'P 1'
_cell_length_a 4.5757
_cell_length_b 4.5932
_cell_length_c 4.5757
_cell_angle_alpha 90.00
_cell_angle_beta 90.00
_cell_angle_gamma 90.00
loop_
_atom_site_label
_atom_site_type_symbol
_atom_site_fract_x
_atom_site_fract_y
_atom_site_fract_z
Sc1 Sc 0.0000 0.0000 0.0000
Be1 Be 0.0000 0.0000 0.5000
Be2 Be 0.5000 0.0000 0.0000
Ni1 Ni 0.5000 0.5000 0.5000
Pd1 Pd 0.0000 0.5000 0.0000
```

=====

(10)
A relaxed Th2Be3Ni12Pd crystal, computed with PBE.

As for the space group: R-3m (166). Its energy of formation is 0.15 eV/atom. As for the total DFT energy (no corrections): -5.44 eV/atom.

Geometry as CIF:
```
data_Th2Be3Ni12Pd
_chemical_formula_sum 'Th2 Be3 Ni12 Pd1'
_space_group_name_H-M_alt 'P 1'
_space_group_IT_number 1
_space_group_name_Hall 'P 1'
_cell_length_a 7.0199
_cell_length_b 7.0199
_cell_length_c 7.0199
_cell_angle_alpha 63.42
_cell_angle_beta 63.42
_cell_angle_gamma 63.42
loop_
_atom_site_label
_atom_site_type_symbol
_atom_site_fract_x
_atom_site_fract_y
_atom_site_fract_z
Th1 Th 0.6097 0.6097 0.6097
Th2 Th 0.3903 0.3903 0.3903
Ni1 Ni 0.3499 0.9010 0.3499
Ni2 Ni 0.9010 0.3499 0.3499
Ni3 Ni 0.1371 0.1371 0.5990
Ni4 Ni 0.6501 0.6501 0.0990
Ni5 Ni 0.8629 0.4010 0.8629
Ni6 Ni 0.6501 0.0990 0.6501
Ni7 Ni 0.4010 0.8629 0.8629
Ni8 Ni 0.8629 0.8629 0.4010
Ni9 Ni 0.3499 0.3499 0.9010
Ni10 Ni 0.1371 0.5990 0.1371
Ni11 Ni 0.5990 0.1371 0.1371
Ni12 Ni 0.0990 0.6501 0.6501
Be1 Be 0.0000 0.0000 0.5000
Be2 Be 0.5000 0.0000 0.0000
Be3 Be 0.0000 0.5000 0.0000
Pd1 Pd 0.0000 0.0000 0.0000
```

=====

(11)
A relaxed TiBeNiPd crystal, computed with PBE.

As for the space group: F-43m (216). Its energy of formation is -0.41 eV/atom. As for the total DFT energy (no corrections): -6.05 eV/atom.

Geometry as CIF:
```
data_TiBeNiPd
_chemical_formula_sum 'Ti1 Be1 Ni1 Pd1'
_space_group_name_H-M_alt 'P 1'
_space_group_IT_number 1
_space_group_name_Hall 'P 1'
_cell_length_a 4.1634
_cell_length_b 4.1634
_cell_length_c 4.1634
_cell_angle_alpha 60.00
_cell_angle_beta 60.00
_cell_angle_gamma 60.00
loop_
_atom_site_label
_atom_site_type_symbol
_atom_site_fract_x
_atom_site_fract_y
_atom_site_fract_z
Be1 Be 0.5000 0.5000 0.5000
Ni1 Ni 0.2500 0.2500 0.2500
Pd1 Pd 0.7500 0.7500 0.7500
Ti1 Ti 0.0000 0.0000 0.0000
```

=====

(12)
A relaxed BeZnNiPd crystal, computed with PBE.

As for the space group: F-43m (216). Its energy of formation is -0.32 eV/atom. As for the total DFT energy (no corrections): -4.32 eV/atom.

Geometry as CIF:
```
data_BeZnNiPd
_chemical_formula_sum 'Be1 Zn1 Ni1 Pd1'
_space_group_name_H-M_alt 'P 1'
_space_group_IT_number 1
_space_group_name_Hall 'P 1'
_cell_length_a 4.0785
_cell_length_b 4.0785
_cell_length_c 4.0785
_cell_angle_alpha 60.00
_cell_angle_beta 60.00
_cell_angle_gamma 60.00
loop_
_atom_site_label
_atom_site_type_symbol
_atom_site_fract_x
_atom_site_fract_y
_atom_site_fract_z
Pd1 Pd 0.0000 0.0000 0.0000
Zn1 Zn 0.7500 0.7500 0.7500
Be1 Be 0.2500 0.2500 0.2500
Ni1 Ni 0.5000 0.5000 0.5000
```

=====

(13)
A relaxed ZrBeNiPd2 crystal, computed with PBE.

As for the space group: P4/mmm (123). Its energy of formation is 0.16 eV/atom. As for the total DFT energy (no corrections): -5.53 eV/atom.

Geometry as CIF:
```
data_ZrBeNiPd2
_chemical_formula_sum 'Zr1 Be1 Ni1 Pd2'
_space_group_name_H-M_alt 'P 1'
_space_group_IT_number 1
_space_group_name_Hall 'P 1'
_cell_length_a 4.0848
_cell_length_b 4.8115
_cell_length_c 4.0848
_cell_angle_alpha 90.00
_cell_angle_beta 90.00
_cell_angle_gamma 90.00
loop_
_atom_site_label
_atom_site_type_symbol
_atom_site_fract_x
_atom_site_fract_y
_atom_site_fract_z
Zr1 Zr 0.0000 0.5000 0.0000
Ni1 Ni 0.5000 0.5000 0.5000
Be1 Be 0.0000 0.0000 0.0000
Pd1 Pd 0.0000 0.0000 0.5000
Pd2 Pd 0.5000 0.0000 0.0000
```